The following is a DFT calculation (PBE-GGA) of an optimized crystal structure of EuUN3.

The structure in extended XYZ format:
```
5
Lattice="4.2610 0.0000 0.0000 0.0000 4.2610 0.0000 0.0000 0.0000 4.2610" Properties=species:S:1:pos:R:3 pbc="T T T"
U 0.0000 0.0000 0.0000
N 2.1305 0.0000 0.0000
Eu 2.1305 2.1305 2.1305
N 0.0000 0.0000 2.1305
N 0.0000 2.1305 0.0000
```

Summary:
The density of states at the Fermi level comes out at 10.16 states/eV/cell. The calculation puts the volume at 77.4 Å³ per cell. The calculation puts the formation energy without anion corrections at -1064 meV per atom.

---

The following is a DFT calculation (PBE-GGA) of an optimized crystal structure of Eu2VN.

The structure in extended XYZ format:
```
4
Lattice="3.5571 0.0000 0.0000 1.7786 3.0806 0.0000 1.7786 1.0269 8.2411" Properties=species:S:1:pos:R:3 pbc="T T T"
N 3.5571 2.0537 4.1205
Eu 5.3357 3.0806 5.5287
V 0.0000 0.0000 0.0000
Eu 1.7786 1.0269 2.7124
```

Summary:
The density of states at the Fermi level comes out at 6.94 states/eV/cell. The calculation puts the volume at 90.3 Å³ per cell. The calculation puts the formation energy without anion corrections at -39 meV per atom.

---

The following is a DFT calculation (PBE-GGA) of an optimized crystal structure of EuYN.

The structure in extended XYZ format:
```
3
Lattice="3.3476 0.0000 0.0000 0.0000 3.3476 0.0000 -1.6738 -1.6738 6.9056" Properties=species:S:1:pos:R:3 pbc="T T T"
Eu 1.6738 1.6738 6.3450
Y 0.0000 0.0000 3.5193
N 1.6738 1.6738 3.9469
```

Summary:
The density of states at the Fermi level comes out at 2.09 states/eV/cell. The calculation puts the volume at 77.4 Å³ per cell. The calculation puts the formation energy without anion corrections at -687 meV per atom. The offset from the most stable computed form is 210.7 meV per atom.

---

The following is a DFT calculation (PBE-GGA) of an optimized crystal structure of EuYN.

The structure in extended XYZ format:
```
3
Lattice="3.5826 0.0000 0.0000 -1.7913 3.1026 0.0000 0.0000 0.0000 6.3229" Properties=species:S:1:pos:R:3 pbc="T T T"
Y 0.0000 2.0684 3.4047
Eu 0.0000 0.0000 0.6442
N 1.7913 1.0342 2.2740
```

Summary:
The density of states at the Fermi level comes out at 2.63 states/eV/cell. The calculation puts the volume at 70.3 Å³ per cell. The calculation puts the formation energy without anion corrections at -898 meV per atom. The offset from the most stable computed form is 0.0 meV per atom.

---

The following is a DFT calculation (PBE-GGA) of an optimized crystal structure of Eu3ZnN.

The structure in extended XYZ format:
```
5
Lattice="5.0439 0.0000 0.0000 0.0000 5.0439 0.0000 0.0000 0.0000 5.0439" Properties=species:S:1:pos:R:3 pbc="T T T"
N 0.0000 0.0000 0.0000
Zn 2.5220 2.5220 2.5220
Eu 2.5220 0.0000 0.0000
Eu 0.0000 0.0000 2.5220
Eu 0.0000 2.5220 0.0000
```

Summary:
The density of states at the Fermi level comes out at 10.07 states/eV/cell. The calculation puts the volume at 128.3 Å³ per cell. The calculation puts the formation energy without anion corrections at -477 meV per atom.

---

The following is a DFT calculation (PBE-GGA) of an optimized crystal structure of Eu2ZrN.

The structure in extended XYZ format:
```
4
Lattice="3.4100 0.0000 0.0000 1.7050 2.9532 0.0000 1.7050 0.9844 9.6643" Properties=species:S:1:pos:R:3 pbc="T T T"
N 3.4100 1.9688 4.8322
Eu 1.7050 0.9844 6.2742
Eu 5.1150 2.9532 3.3902
Zr 0.0000 0.0000 0.0000
```

Summary:
The density of states at the Fermi level comes out at 6.01 states/eV/cell. The calculation puts the volume at 97.3 Å³ per cell. The calculation puts the formation energy without anion corrections at -213 meV per atom.

---

The following is a DFT calculation (PBE-GGA) of an optimized crystal structure of NaEu3.

The structure in extended XYZ format:
```
4
Lattice="7.0800 0.0606 0.0000 2.9209 6.4497 0.0000 -5.0004 -3.2551 3.8118" Properties=species:S:1:pos:R:3 pbc="T T T"
Eu 3.5400 0.0303 1.9059
Na 0.0000 0.0000 0.0000
Eu 5.0004 3.2551 0.0000
Eu 1.4604 3.2248 1.9059
```

Summary:
The density of states at the Fermi level comes out at 31.93 states/eV/cell. The calculation puts the volume at 173.4 Å³ per cell. The offset from the most stable computed form is 52.8 meV per atom. The formation energy comes out at 0.13 eV per atom.

---

The following is a DFT calculation (PBE-GGA) of an optimized crystal structure of Na6Eu.

The structure in extended XYZ format:
```
7
Lattice="7.4434 0.0000 0.0000 -2.4811 7.0177 0.0000 -2.4811 -3.5088 6.0775" Properties=species:S:1:pos:R:3 pbc="T T T"
Na 3.7217 0.0000 3.0387
Na 1.2406 4.3860 1.5194
Na -1.2406 0.8772 4.5581
Na 3.7217 2.6316 1.5194
Eu 0.0000 0.0000 0.0000
Na 1.2406 -0.8772 4.5581
Na -1.2406 3.5088 3.0387
```

Summary:
The density of states at the Fermi level comes out at 5.42 states/eV/cell. The calculation puts the volume at 317.5 Å³ per cell. The formation energy comes out at 0.32 eV per atom.

---

The following is a DFT calculation (PBE-GGA) of an optimized crystal structure of NaEu6.

The structure in extended XYZ format:
```
7
Lattice="8.2585 0.0000 0.0000 -2.7528 7.7862 0.0000 -2.7528 -3.8931 6.7430" Properties=species:S:1:pos:R:3 pbc="T T T"
Na 0.0000 0.0000 0.0000
Eu -1.3764 0.9733 5.0573
Eu 1.3764 4.8664 1.6858
Eu -1.3764 3.8931 3.3715
Eu 1.3764 -0.9733 5.0573
Eu 4.1293 0.0000 3.3715
Eu 4.1293 2.9198 1.6858
```

Summary:
The density of states at the Fermi level comes out at 10.75 states/eV/cell. The calculation puts the volume at 433.6 Å³ per cell. The formation energy comes out at 0.97 eV per atom.

---

The following is a DFT calculation (PBE-GGA) of an optimized crystal structure of NaEu.

The structure in extended XYZ format:
```
2
Lattice="4.3603 0.0000 0.0000 0.0000 4.3603 0.0000 0.0000 0.0000 4.3603" Properties=species:S:1:pos:R:3 pbc="T T T"
Eu 0.0000 0.0000 0.0000
Na 2.1801 2.1801 2.1801
```

Summary:
The density of states at the Fermi level comes out at 11.99 states/eV/cell. The calculation puts the volume at 82.9 Å³ per cell. The offset from the most stable computed form is 55.3 meV per atom. The formation energy comes out at 0.12 eV per atom.

---

The following is a DFT calculation (PBE-GGA) of an optimized crystal structure of NaEu3.

The structure in extended XYZ format:
```
4
Lattice="-2.6467 -3.6026 4.4181 -3.8935 -4.6490 -1.6526 1.7942 -5.9870 0.6635" Properties=species:S:1:pos:R:3 pbc="T T T"
Na -2.3730 -7.1193 1.7145
Eu -1.1865 -3.5597 0.8572
Eu -3.5595 -10.6790 2.5717
Eu 0.0000 0.0000 0.0000
```

Summary:
The density of states at the Fermi level comes out at 36.09 states/eV/cell. The calculation puts the volume at 175.6 Å³ per cell. The offset from the most stable computed form is 85.0 meV per atom. The formation energy comes out at 0.16 eV per atom.

---

The following is a DFT calculation (PBE-GGA) of an optimized crystal structure of NaEu3.

The structure in extended XYZ format:
```
4
Lattice="-3.1952 -4.4227 -0.8760 -0.7325 -0.5503 5.4496 -4.4488 3.2671 -0.2681" Properties=species:S:1:pos:R:3 pbc="T T T"
Eu -1.9638 -2.4865 2.2868
Eu -2.5906 1.3584 2.5908
Eu -3.8220 -0.5778 -0.5721
Na 0.0000 0.0000 0.0000
```

Summary:
The density of states at the Fermi level comes out at 18.81 states/eV/cell. The calculation puts the volume at 168.8 Å³ per cell. The offset from the most stable computed form is 15.6 meV per atom. The formation energy comes out at 0.09 eV per atom.

---

The following is a DFT calculation (PBE-GGA) of an optimized crystal structure of NaEu3.

The structure in extended XYZ format:
```
4
Lattice="-4.7258 0.2611 4.2248 -3.6599 -3.4072 -3.8834 1.3978 -3.5323 1.7818" Properties=species:S:1:pos:R:3 pbc="T T T"
Na 0.5818 -1.4702 0.7416
Eu -3.6106 -3.0444 0.9129
Eu -1.0818 -3.1069 3.7455
Eu -0.5477 -4.9439 -0.3072
```

Summary:
The density of states at the Fermi level comes out at 3.35 states/eV/cell. The calculation puts the volume at 168.5 Å³ per cell. The offset from the most stable computed form is 11.8 meV per atom. The formation energy comes out at 0.09 eV per atom.

---

The following is a DFT calculation (PBE-GGA) of an optimized crystal structure of NaEu3.

The structure in extended XYZ format:
```
4
Lattice="4.1697 0.0000 0.0000 0.0000 6.3234 0.0000 -2.0848 -3.1617 6.3156" Properties=species:S:1:pos:R:3 pbc="T T T"
Na 0.0000 5.8139 0.0000
Eu 0.0000 2.6205 3.3406
Eu 2.0848 -0.5412 2.9750
Eu 2.0848 2.6458 0.0000
```

Summary:
The density of states at the Fermi level comes out at 3.33 states/eV/cell. The calculation puts the volume at 166.5 Å³ per cell. The offset from the most stable computed form is 0.0 meV per atom. The formation energy comes out at 0.07 eV per atom.

---

The following is a DFT calculation (PBE-GGA) of an optimized crystal structure of Na5Eu.

The structure in extended XYZ format:
```
6
Lattice="-2.1761 -0.0838 4.8308 2.8342 -4.4336 1.1998 4.7120 6.9040 2.2423" Properties=species:S:1:pos:R:3 pbc="T T T"
Na 4.0155 3.0709 1.8621
Na 4.3491 0.8157 4.8795
Na 3.5307 -0.6004 1.5800
Na 0.3290 -2.2587 3.0153
Eu 0.0000 0.0000 0.0000
Na 1.0210 1.5710 3.3934
```

Summary:
The density of states at the Fermi level comes out at 4.15 states/eV/cell. The calculation puts the volume at 235.2 Å³ per cell. The formation energy comes out at 0.08 eV per atom.

---

The following is a DFT calculation (PBE-GGA) of an optimized crystal structure of NaEu.

The structure in extended XYZ format:
```
4
Lattice="3.8571 -0.0155 0.0000 0.0470 10.8846 0.0000 0.0000 0.0000 3.8609" Properties=species:S:1:pos:R:3 pbc="T T T"
Na 2.9341 9.6560 2.8957
Na 0.9700 1.2131 0.9652
Eu 0.9920 6.8456 0.9652
Eu 2.9120 4.0235 2.8957
```

Summary:
The density of states at the Fermi level comes out at 3.28 states/eV/cell. The calculation puts the volume at 162.1 Å³ per cell. The offset from the most stable computed form is 0.0 meV per atom. The formation energy comes out at 0.06 eV per atom.

---

The following is a DFT calculation (PBE-GGA) of an optimized crystal structure of NaEuNbSnO6.

The structure in extended XYZ format:
```
10
Lattice="2.3152 -3.8531 -3.5659 2.9607 -4.4414 2.1050 -2.1765 -5.3004 -0.3021" Properties=species:S:1:pos:R:3 pbc="T T T"
O 1.9374 -5.3062 -2.2411
O -0.3374 -6.0392 -0.5881
Eu 0.7749 -3.3987 -0.4408
O 1.1620 -8.2886 0.4780
O 0.8351 -7.9907 -2.3941
O 2.2643 -5.6042 0.6310
Nb 0.0000 0.0000 0.0000
O 3.4369 -7.5556 -1.1750
Sn 1.5497 -6.7974 -0.8815
Na 2.3246 -10.1961 -1.3223
```

Summary:
The calculation puts the volume at 133.6 Å³ per cell. The calculation puts the formation energy without anion corrections at -2268 meV per atom.

---

The following is a DFT calculation (PBE-GGA) of an optimized crystal structure of Na3EuTi2Nb2O12.

The structure in extended XYZ format:
```
20
Lattice="-4.1563 -3.2384 -1.6645 0.2855 -2.7723 4.8425 -5.1523 4.9707 3.1482" Properties=species:S:1:pos:R:3 pbc="T T T"
O -5.6915 2.0168 6.6842
O -5.8924 -0.7585 6.1985
Na -5.8369 0.6588 3.9443
Nb -5.0061 3.5365 5.4323
Na -7.7344 -2.2522 5.5268
O -7.5874 -0.7392 3.2776
Ti -2.5007 1.0896 3.8769
Nb -4.4318 -1.8360 5.5491
O -5.0831 -2.0701 3.7697
O -3.2342 -0.3069 5.1867
Eu -5.1688 -4.6430 3.7685
O -3.4076 -2.9762 -0.1765
O -6.0813 3.0167 3.9891
O -3.0280 -0.2475 0.2443
Ti -1.8437 -4.3036 3.9372
O -3.8410 0.8971 2.6631
O -2.9794 -4.0994 2.5055
O -5.6283 -0.8569 1.1977
O -1.4023 -0.3720 3.1904
Na -3.2812 -1.6989 2.1821
```

Summary:
The density of states at the Fermi level comes out at 9.82 states/eV/cell. The calculation puts the volume at 241.4 Å³ per cell. The calculation puts the formation energy without anion corrections at -2614 meV per atom.

---

The following is a DFT calculation (PBE-GGA) of an optimized crystal structure of NaNdEu2.

The structure in extended XYZ format:
```
4
Lattice="-2.9132 -1.7097 1.6696 0.4583 -1.6603 3.3511 -3.8733 9.7526 7.4800" Properties=species:S:1:pos:R:3 pbc="T T T"
Eu -1.5628 1.5271 3.0886
Na -3.1641 3.1913 6.2503
Nd 0.0000 0.0000 0.0000
Eu -4.7654 4.8554 9.4121
```

Summary:
The density of states at the Fermi level comes out at 10.71 states/eV/cell. The calculation puts the volume at 156.2 Å³ per cell. The offset from the most stable computed form is 0.0 meV per atom. The formation energy comes out at 0.07 eV per atom.

---

The following is a DFT calculation (PBE-GGA) of an optimized crystal structure of NaNdEu2.

The structure in extended XYZ format:
```
4
Lattice="-3.4831 1.2605 -0.2949 -0.2620 -1.5154 -3.3827 -3.8827 -9.6477 4.6226" Properties=species:S:1:pos:R:3 pbc="T T T"
Eu -2.8781 -7.1514 3.4266
Eu -1.0046 -2.4963 1.1961
Na -1.8725 -0.1274 -1.8388
Nd -3.8139 -4.9513 0.4725
```

Summary:
The density of states at the Fermi level comes out at 17.26 states/eV/cell. The calculation puts the volume at 157.1 Å³ per cell. The offset from the most stable computed form is 13.2 meV per atom. The formation energy comes out at 0.08 eV per atom.